(1)
# Hg5Ir GGA-PBE optimized geometry
data_Hg5Ir
_chemical_formula_sum 'Hg10 Ir2'
_symmetry_space_group_name_H-M 'C 1 m 1'
_symmetry_Int_Tables_number 8
_cell_length_a 10.0729
_cell_length_b 3.0325
_cell_length_c 9.8765
_cell_angle_alpha 90.00
_cell_angle_beta 102.44
_cell_angle_gamma 90.00
loop_
_symmetry_equiv_pos_as_xyz
'x,y,z'
'x,-y,z'
'x+1/2,y+1/2,z'
'x+1/2,-y+1/2,z'
loop_
_atom_site_label
_atom_site_fract_x
_atom_site_fract_y
_atom_site_fract_z
Hg1 0.0000 0.0000 0.0000
Hg2 0.0865 0.5000 0.3521
Hg3 0.1854 0.5000 0.7597
Hg4 0.2889 0.0000 0.1651
Hg5 0.3810 0.5000 0.5160
Ir1 0.4183 0.0000 0.7588
# crystal system	monoclinic


(2)
# HgIr2 GGA-PBE optimized geometry
data_HgIr2
_chemical_formula_sum 'Hg2 Ir4'
_symmetry_space_group_name_H-M 'I 4/m m m'
_symmetry_Int_Tables_number 139
_symmetry_space_group_name_Hall '-I 4 2'
_cell_length_a 2.8423
_cell_length_b 2.8423
_cell_length_c 12.4063
_cell_angle_alpha 90.00
_cell_angle_beta 90.00
_cell_angle_gamma 90.00
loop_
_atom_site_label
_atom_site_fract_x
_atom_site_fract_y
_atom_site_fract_z
Hg1 0.0000 0.0000 0.0000
Ir1 0.0000 0.0000 0.3192
# crystal system	tetragonal


(3)
# HgIr2 GGA-PBE optimized geometry
data_HgIr2
_chemical_formula_sum 'Hg4 Ir8'
_symmetry_space_group_name_H-M 'I 4/m c m'
_symmetry_Int_Tables_number 140
_symmetry_space_group_name_Hall '-I 4 2c'
_cell_length_a 6.4244
_cell_length_b 6.4244
_cell_length_c 5.2289
_cell_angle_alpha 90.00
_cell_angle_beta 90.00
_cell_angle_gamma 90.00
loop_
_atom_site_label
_atom_site_fract_x
_atom_site_fract_y
_atom_site_fract_z
Hg1 0.0000 0.0000 0.2500
Ir1 0.1332 0.3668 0.0000
# crystal system	tetragonal


(4)
# HgIr GGA-PBE optimized geometry
data_HgIr
_chemical_formula_sum 'Hg1 Ir1'
_symmetry_space_group_name_H-M 'P -6 m 2'
_symmetry_Int_Tables_number 187
_symmetry_space_group_name_Hall 'P -6 2'
_cell_length_a 2.9369
_cell_length_b 2.9369
_cell_length_c 4.6682
_cell_angle_alpha 90.00
_cell_angle_beta 90.00
_cell_angle_gamma 120.00
loop_
_atom_site_label
_atom_site_fract_x
_atom_site_fract_y
_atom_site_fract_z
Hg1 0.0000 0.0000 0.0000
Ir1 0.3333 0.6667 0.5000
# crystal system	hexagonal


(5)
# HgIr GGA-PBE optimized geometry
data_HgIr
_chemical_formula_sum 'Hg2 Ir2'
_symmetry_space_group_name_H-M 'P -3 m 1'
_symmetry_Int_Tables_number 164
_symmetry_space_group_name_Hall '-P 3 2"'
_cell_length_a 2.8794
_cell_length_b 2.8794
_cell_length_c 10.1110
_cell_angle_alpha 90.00
_cell_angle_beta 90.00
_cell_angle_gamma 120.00
loop_
_atom_site_label
_atom_site_fract_x
_atom_site_fract_y
_atom_site_fract_z
Hg1 0.3333 0.6667 0.3511
Ir1 0.3333 0.6667 0.8966
# crystal system	trigonal


(6)
# HgIr5 GGA-PBE optimized geometry
data_HgIr5
_chemical_formula_sum 'Hg4 Ir20'
_symmetry_space_group_name_H-M 'F -4 3 m'
_symmetry_Int_Tables_number 216
_symmetry_space_group_name_Hall 'F -4 2 3'
_cell_length_a 7.3537
_cell_length_b 7.3537
_cell_length_c 7.3537
_cell_angle_alpha 90.00
_cell_angle_beta 90.00
_cell_angle_gamma 90.00
loop_
_atom_site_label
_atom_site_fract_x
_atom_site_fract_y
_atom_site_fract_z
Hg1 0.0000 0.0000 0.0000
Ir1 0.1247 0.1247 0.6247
Ir2 0.2500 0.2500 0.2500
# crystal system	cubic


| no. | E_form (meV per atom) | M_tot (μB/cell) |
| --- | --- | --- |
| 1 | 264 | 0.2 |
| 2 | 368 | 0.0 |
| 3 | 1119 | 3.9 |
| 4 | 551 | 0.0 |
| 5 | 461 | 0.0 |
| 6 | 764 | 0.0 |